No. 1
Entry from Alexandria via LeMat-Bulk: crystalline LaMgSi at its relaxed geometry (GGA-PBE).

E (eV/atom): -4.444
Theoretical density (g cm⁻³): 4.2
Magnetic moment (μB per atom): 0.0000
Energy relative to the elements, uncorrected (eV/atom): -0.46

Geometry as CIF:
```
data_LaMgSi
_chemical_formula_sum 'La4 Mg4 Si4'
_symmetry_space_group_name_H-M 'C 1 2/m 1'
_symmetry_Int_Tables_number 12
_cell_length_a 16.765
_cell_length_b 4.771
_cell_length_c 3.886
_cell_angle_alpha 90.00
_cell_angle_beta 102.16
_cell_angle_gamma 90.00
loop_
_symmetry_equiv_pos_as_xyz
'x,y,z'
'-x,-y,-z'
'-x,y,-z'
'x,-y,z'
'x+1/2,y+1/2,z'
'-x+1/2,-y+1/2,-z'
'-x+1/2,y+1/2,-z'
'x+1/2,-y+1/2,z'
loop_
_atom_site_label
_atom_site_fract_x
_atom_site_fract_y
_atom_site_fract_z
La1 0.098 0.000 0.340
Mg1 0.207 0.500 0.910
Si1 0.044 0.500 0.789
```

=====

No. 2
Entry from Alexandria via LeMat-Bulk: crystalline La12MgSi5 at its relaxed geometry (GGA-PBE).

E (eV/atom): -5.305
Theoretical density (g cm⁻³): 5.5
Magnetic moment (μB per atom): 0.0000
Energy relative to the elements, uncorrected (eV/atom): -0.42

Geometry as CIF:
```
data_La12MgSi5
_chemical_formula_sum 'La24 Mg2 Si10'
_symmetry_space_group_name_H-M 'I m m m'
_symmetry_Int_Tables_number 71
_symmetry_space_group_name_Hall '-I 2 2'
_cell_length_a 10.082
_cell_length_b 10.281
_cell_length_c 10.686
_cell_angle_alpha 90.00
_cell_angle_beta 90.00
_cell_angle_gamma 90.00
loop_
_atom_site_label
_atom_site_fract_x
_atom_site_fract_y
_atom_site_fract_z
La1 0.000 0.202 0.233
La2 0.205 0.500 0.180
La3 0.234 0.324 0.500
Mg1 0.000 0.000 0.500
Si1 0.000 0.000 0.000
Si2 0.000 0.379 0.000
Si3 0.000 0.500 0.388
```

=====

No. 3
Entry from Alexandria via LeMat-Bulk: crystalline LaMgSi2 at its relaxed geometry (GGA-PBE).

E (eV/atom): -4.468
Theoretical density (g cm⁻³): 4.1
Magnetic moment (μB per atom): 0.0001
Energy relative to the elements, uncorrected (eV/atom): -0.13

Geometry as CIF:
```
data_LaMgSi2
_chemical_formula_sum 'La1 Mg1 Si2'
_symmetry_space_group_name_H-M 'P 4 m m'
_symmetry_Int_Tables_number 99
_cell_length_a 3.445
_cell_length_b 3.445
_cell_length_c 7.426
_cell_angle_alpha 90.00
_cell_angle_beta 90.00
_cell_angle_gamma 90.00
loop_
_symmetry_equiv_pos_as_xyz
'x,y,z'
'-y,x,z'
'-x,-y,z'
'y,-x,z'
'-x,y,z'
'y,x,z'
'x,-y,z'
'-y,-x,z'
loop_
_atom_site_label
_atom_site_fract_x
_atom_site_fract_y
_atom_site_fract_z
La1 0.000 0.000 0.000
Mg1 0.500 0.500 0.359
Si1 0.000 0.000 0.596
Si2 0.500 0.500 0.721
```

=====

No. 4
Entry from Alexandria via LeMat-Bulk: crystalline LaMgSi2 at its relaxed geometry (GGA-PBE).

E (eV/atom): -4.861
Theoretical density (g cm⁻³): 4.2
Magnetic moment (μB per atom): 0.0000
Energy relative to the elements, uncorrected (eV/atom): -0.52

Geometry as CIF:
```
data_LaMgSi2
_chemical_formula_sum 'La4 Mg4 Si8'
_symmetry_space_group_name_H-M 'P n m a'
_symmetry_Int_Tables_number 62
_cell_length_a 8.131
_cell_length_b 3.929
_cell_length_c 10.868
_cell_angle_alpha 90.00
_cell_angle_beta 90.00
_cell_angle_gamma 90.00
loop_
_symmetry_equiv_pos_as_xyz
'x,y,z'
'-x,-y,-z'
'-x+1/2,-y,z+1/2'
'x+1/2,y,-z+1/2'
'x+1/2,-y+1/2,-z+1/2'
'-x+1/2,y+1/2,z+1/2'
'-x,y+1/2,-z'
'x,-y+1/2,z'
loop_
_atom_site_label
_atom_site_fract_x
_atom_site_fract_y
_atom_site_fract_z
La1 0.124 0.250 0.140
Mg1 0.002 0.250 0.610
Si1 0.176 0.250 0.821
Si2 0.242 0.250 0.437
```

=====

No. 5
Entry from Alexandria via LeMat-Bulk: crystalline LaMgSi at its relaxed geometry (GGA-PBE).

E (eV/atom): -4.380
Theoretical density (g cm⁻³): 4.0
Magnetic moment (μB per atom): 0.0000
Energy relative to the elements, uncorrected (eV/atom): -0.40

Geometry as CIF:
```
data_LaMgSi
_chemical_formula_sum 'La4 Mg4 Si4'
_symmetry_space_group_name_H-M 'F -4 3 m'
_symmetry_Int_Tables_number 216
_symmetry_space_group_name_Hall 'F -4 2 3'
_cell_length_a 6.840
_cell_length_b 6.840
_cell_length_c 6.840
_cell_angle_alpha 90.00
_cell_angle_beta 90.00
_cell_angle_gamma 90.00
loop_
_atom_site_label
_atom_site_fract_x
_atom_site_fract_y
_atom_site_fract_z
La1 0.000 0.000 0.000
Mg1 0.000 0.000 0.500
Si1 0.250 0.250 0.750
```

=====

No. 6
Entry from Alexandria via LeMat-Bulk: crystalline La2MgSi at its relaxed geometry (GGA-PBE).

E (eV/atom): -4.432
Theoretical density (g cm⁻³): 4.0
Magnetic moment (μB per atom): 0.2141
Energy relative to the elements, uncorrected (eV/atom): -0.21

Geometry as CIF:
```
data_La2MgSi
_chemical_formula_sum 'La4 Mg2 Si2'
_symmetry_space_group_name_H-M 'C 1 2/m 1'
_symmetry_Int_Tables_number 12
_cell_length_a 7.511
_cell_length_b 4.332
_cell_length_c 8.758
_cell_angle_alpha 90.00
_cell_angle_beta 106.53
_cell_angle_gamma 90.00
loop_
_symmetry_equiv_pos_as_xyz
'x,y,z'
'-x,-y,-z'
'-x,y,-z'
'x,-y,z'
'x+1/2,y+1/2,z'
'-x+1/2,-y+1/2,-z'
'-x+1/2,y+1/2,-z'
'x+1/2,-y+1/2,z'
loop_
_atom_site_label
_atom_site_fract_x
_atom_site_fract_y
_atom_site_fract_z
La1 0.232 0.000 0.196
Mg1 0.000 0.000 0.500
Si1 0.000 0.500 0.000
```

=====

No. 7
Entry from Alexandria via LeMat-Bulk: crystalline LaMgSi at its relaxed geometry (GGA-PBE).

E (eV/atom): -4.403
Theoretical density (g cm⁻³): 4.2
Magnetic moment (μB per atom): 0.0000
Energy relative to the elements, uncorrected (eV/atom): -0.42

Geometry as CIF:
```
data_LaMgSi
_chemical_formula_sum 'La4 Mg4 Si4'
_symmetry_space_group_name_H-M 'C 1 2/m 1'
_symmetry_Int_Tables_number 12
_cell_length_a 13.497
_cell_length_b 3.939
_cell_length_c 5.773
_cell_angle_alpha 90.00
_cell_angle_beta 98.95
_cell_angle_gamma 90.00
loop_
_symmetry_equiv_pos_as_xyz
'x,y,z'
'-x,-y,-z'
'-x,y,-z'
'x,-y,z'
'x+1/2,y+1/2,z'
'-x+1/2,-y+1/2,-z'
'-x+1/2,y+1/2,-z'
'x+1/2,-y+1/2,z'
loop_
_atom_site_label
_atom_site_fract_x
_atom_site_fract_y
_atom_site_fract_z
La1 0.131 0.000 0.338
Mg1 0.084 0.500 0.821
Si1 0.231 0.000 0.867
```

=====

No. 8
Entry from Alexandria via LeMat-Bulk: crystalline La2MgSi at its relaxed geometry (GGA-PBE).

E (eV/atom): -4.552
Theoretical density (g cm⁻³): 5.1
Magnetic moment (μB per atom): 0.0000
Energy relative to the elements, uncorrected (eV/atom): -0.33

Geometry as CIF:
```
data_La2MgSi
_chemical_formula_sum 'La4 Mg2 Si2'
_symmetry_space_group_name_H-M 'I m m 2'
_symmetry_Int_Tables_number 44
_cell_length_a 4.094
_cell_length_b 4.956
_cell_length_c 10.600
_cell_angle_alpha 90.00
_cell_angle_beta 90.00
_cell_angle_gamma 90.00
loop_
_symmetry_equiv_pos_as_xyz
'x,y,z'
'-x,-y,z'
'-x,y,z'
'x,-y,z'
'x+1/2,y+1/2,z+1/2'
'-x+1/2,-y+1/2,z+1/2'
'-x+1/2,y+1/2,z+1/2'
'x+1/2,-y+1/2,z+1/2'
loop_
_atom_site_label
_atom_site_fract_x
_atom_site_fract_y
_atom_site_fract_z
La1 0.000 0.000 0.000
La2 0.000 0.500 0.217
Mg1 0.000 0.500 0.787
Si1 0.000 0.000 0.458
```